Computed, not measured: crystalline TbSm2Mg at its relaxed geometry at the PBE level of DFT.

```
TbSm2Mg
1.0
3.689 0.000 0.000
0.000 3.689 0.000
0.000 0.000 9.052
Sm Tb Mg
2 1 1
direct
0.000 0.000 0.771
0.000 0.000 0.229
0.500 0.500 0.500
0.500 0.500 0.000
```

crystal system = tetragonal
formation energy from the elements = -0.123 eV per formula unit
excess energy over the best structure of this formula in the dataset = 0 meV/atom
symmetry = P4/mmm, No. 123
E = -0.29007 Ry/atom